Material: Cd2CoMoO6
Method: DFT, PBE+U
State: optimized geometry

a b c (Å): 5.3446 5.3446 4.0833
angles (deg): 90.00 90.00 90.00
Fractional coordinates of all 10 atoms:
Cd 0.0000 0.5000 0.0000
Cd 0.5000 0.0000 0.0000
Co 0.0000 0.0000 0.5081
Mo 0.5000 0.5000 0.5037
O 0.0000 0.0000 0.0090
O 0.2480 0.2480 0.5095
O 0.2480 0.7520 0.5095
O 0.5000 0.5000 0.0079
O 0.7520 0.2480 0.5095
O 0.7520 0.7520 0.5095

* DFT total energy: -53.29 eV/f.u.